(1)
# Pm7Ge2I2

A relaxed structure of Pm7Ge2I2 (PBE, Alexandria).

Final energy: -0.3307 Ry/atom
Total magnetic moment: 0.00 μB per formula unit
Uncorrected formation energy: -354 meV per atom

Cell lengths 7.5908, 13.1767, 7.8035 Å; angles 90.00, 102.41, 90.00 degrees
Last column: nearest neighbours and their distance in Å.
Space group C2/m (No. 12)
One atom of each set of equivalent atoms:
Pm: 0.0000 0.0000 0.0000  2 I 3.13, 2 Pm 3.21
Pm: 0.1679 0.5000 0.6675  2 Ge 3.04, 1 I 3.15, 2 Pm 3.21-3.24
Pm: 0.2015 0.2739 0.2224  2 Ge 2.94-2.96, 1 I 3.12
Ge: 0.0000 0.3045 0.5000  6 Pm 2.94-3.04
I: 0.1976 0.0000 0.6870  4 Pm 3.12-3.15

---

(2)
# La2DyTh

A relaxed structure of La2DyTh (PBE, Alexandria).

Offset from the most stable computed form: 167 meV per atom
Calculated formation energy: 0.190 eV per atom
Final energy: -0.3880 Ry/atom
Total magnetic moment: 0.00 μB per formula unit

Cell lengths 3.5280, 3.5280, 38.3101 Å; angles 90.00, 90.00, 120.00 degrees
Last column: nearest neighbours and their distance in Å.
Space group R-3m (No. 166, hexagonal axes)
One atom of each set of equivalent atoms:
La: 0.0000 0.0000 0.0885  1 Th 3.39, 6 La 3.53, 3 Dy 3.62
Dy: 0.0000 0.0000 0.5000  6 Dy 3.53, 6 La 3.62
Th: 0.0000 0.0000 0.0000  2 La 3.39, 6 Th 3.53

---

(3)
# Ca2Sb3Pd5

A relaxed structure of Ca2Sb3Pd5 (PBE, Alexandria).

Final energy: -0.3617 Ry/atom
Total magnetic moment: 0.00 μB per formula unit
Uncorrected formation energy: -688 meV per atom

Cell lengths 4.5670, 25.1390, 7.3068 Å; angles 90.00, 90.00, 90.00 degrees
Last column: nearest neighbours and their distance in Å.
Space group Cmc2_1 (No. 36)
One atom of each set of equivalent atoms:
Ca: 0.0000 0.0152 0.0000  5 Sb 3.03-3.35, 3 Pd 3.04-3.06
Ca: 0.0000 0.3226 0.0432  10 Pd 3.10-3.46, 3 Sb 3.20-3.43
Sb: 0.0000 0.1094 0.7406  6 Pd 2.65-2.82
Sb: 0.0000 0.2815 0.5960  7 Pd 2.64-2.80
Sb: 0.0000 0.4438 0.7715  5 Pd 2.66-2.85
Pd: 0.0000 0.1006 0.3791  3 Sb 2.65-2.66
Pd: 0.0000 0.2082 0.8837  4 Sb 2.69-2.80, 3 Pd 2.95-3.00
Pd: 0.0000 0.2224 0.2913  3 Sb 2.68-2.69, 2 Pd 2.95
Pd: 0.0000 0.3793 0.4644  4 Sb 2.64-2.82, 1 Pd 2.85
Pd: 0.0000 0.4481 0.1552  4 Sb 2.77-2.85, 1 Pd 2.85, 2 Ca 3.06

---

(4)
# CsHoSnS4

A relaxed structure of CsHoSnS4 (PBE, Alexandria).

Final energy: -0.3617 Ry/atom
Total magnetic moment: 0.00 μB per formula unit
Uncorrected formation energy: -1216 meV per atom

Cell lengths 6.7804, 7.0287, 9.6392 Å; angles 90.00, 108.82, 90.00 degrees
Last column: nearest neighbours and their distance in Å.
Space group P2_1/m (No. 11)
One atom of each set of equivalent atoms:
Cs: 0.2371 0.2500 0.4450  2 S 3.32-3.49
Ho: 0.2929 0.2500 0.9543  6 S 2.73-2.82
Sn: 0.2551 0.7500 0.1532  4 S 2.37-2.44
S: 0.0080 0.7500 0.9141  1 Sn 2.37
S: 0.0459 0.7500 0.3094  1 Sn 2.38
S: 0.4905 0.5049 0.8148  1 Sn 2.44

---

(5)
# Ho7Cd2Bi2

A relaxed structure of Ho7Cd2Bi2 (PBE, Alexandria).

Calculated formation energy: -0.108 eV per atom
Final energy: -0.2862 Ry/atom
Total magnetic moment: 0.00 μB per formula unit

Cell lengths 8.1017, 10.9532, 7.8088 Å; angles 90.00, 90.00, 90.00 degrees
Last column: nearest neighbours and their distance in Å.
Space group Cmmm (No. 65)
One atom of each set of equivalent atoms:
Ho: 0.0000 0.0000 0.0000  2 Bi 3.23
Ho: 0.0000 0.5000 0.2823  2 Cd 3.15, 2 Bi 3.15, 5 Ho 3.40-3.41
Ho: 0.2500 0.2500 0.2894  2 Bi 3.07, 2 Cd 3.25, 3 Ho 3.29-3.41
Cd: 0.1731 0.0000 0.5000  1 Cd 2.80
Bi: 0.0000 0.2947 0.0000  7 Ho 3.07-3.23

---

(6)
# Tb2Nd3Sm8

A relaxed structure of Tb2Nd3Sm8 (PBE, Alexandria).

Offset from the most stable computed form: 210 meV per atom
Calculated formation energy: 0.224 eV per atom
Final energy: -0.3302 Ry/atom
Total magnetic moment: 0.00 μB per formula unit

Cell lengths 20.4439, 7.7409, 5.7639 Å; angles 90.00, 90.04, 90.00 degrees
Last column: nearest neighbours and their distance in Å.
Space group C2/m (No. 12)
One atom of each set of equivalent atoms:
Tb: 0.2417 0.0000 0.4985  8 Sm 3.37-3.62
Nd: 0.0000 0.0000 0.5000  4 Sm 3.15
Nd: 0.0000 0.2897 0.0000  1 Nd 3.26, 6 Sm 3.56-3.63
Sm: 0.1078 0.2914 0.5003  1 Nd 3.15, 1 Sm 3.23, 1 Tb 3.48
Sm: 0.1352 0.0000 0.9994  2 Nd 3.56, 2 Tb 3.61-3.62, 7 Sm 3.70-3.95
Sm: 0.1731 0.5000 0.0012  2 Tb 3.37, 4 Sm 3.56-3.57

---

(7)
# Hf2ReSn

A relaxed structure of Hf2ReSn (PBE, Alexandria).

Calculated formation energy: -0.195 eV per atom
Final energy: -0.6824 Ry/atom
Total magnetic moment: 0.00 μB per formula unit

Cell lengths 4.6083, 4.6083, 3.6488 Å; angles 90.00, 90.00, 90.00 degrees
Last column: nearest neighbours and their distance in Å.
Space group P4/mmm (No. 123)
One atom of each set of equivalent atoms:
Hf: 0.0000 0.5000 0.0000  4 Sn 2.94, 4 Re 2.94, 4 Hf 3.26
Re: 0.0000 0.0000 0.5000  8 Hf 2.94, 4 Sn 3.26
Sn: 0.5000 0.5000 0.5000  8 Hf 2.94, 4 Re 3.26

---

(8)
# CeYRuO6

A relaxed structure of CeYRuO6 (PBE, Alexandria).

Final energy: -0.5959 Ry/atom
Total magnetic moment: 3.00 μB per formula unit
Uncorrected formation energy: -2395 meV per atom

Cell lengths 5.5268, 5.5268, 9.5573 Å; angles 90.00, 90.00, 120.00 degrees
Last column: nearest neighbours and their distance in Å.
Space group P-31c (No. 163)
One atom of each set of equivalent atoms:
Ce: 0.3333 0.6667 0.2500  6 O 2.25
Y: 0.0000 0.0000 0.0000  6 O 2.32
Ru: 0.3333 0.6667 0.7500  6 O 1.98
O: 0.0378 0.3654 0.6350  1 Ru 1.98

---

(9)
# DyY3S

A relaxed structure of DyY3S (PBE, Alexandria).

Final energy: -0.4617 Ry/atom
Total magnetic moment: 0.02 μB per formula unit
Uncorrected formation energy: -658 meV per atom

Cell lengths 5.3129, 5.3129, 5.3129 Å; angles 90.00, 90.00, 90.00 degrees
Last column: nearest neighbours and their distance in Å.
Space group Pm-3m (No. 221)
One atom of each set of equivalent atoms:
Dy: 0.0000 0.0000 0.0000  12 Y 3.76
Y: 0.0000 0.5000 0.5000  2 S 2.66
S: 0.5000 0.5000 0.5000  6 Y 2.66

---

(10)
# U2TcBi

A relaxed structure of U2TcBi (PBE, Alexandria).

Offset from the most stable computed form: 0 meV per atom
Calculated formation energy: 0.131 eV per atom
Final energy: -0.6670 Ry/atom
Total magnetic moment: 0.91 μB per formula unit

Cell lengths 3.7990, 3.7990, 6.2239 Å; angles 90.00, 90.00, 90.00 degrees
Last column: nearest neighbours and their distance in Å.
Space group P4/mmm (No. 123)
One atom of each set of equivalent atoms:
U: 0.0000 0.0000 0.1977  1 U 2.46
Tc: 0.5000 0.5000 0.0000  8 U 2.95, 2 Bi 3.11
Bi: 0.5000 0.5000 0.5000  2 Tc 3.11, 8 U 3.28

---

(11)
# YCd2Ag

A relaxed structure of YCd2Ag (PBE, Alexandria).

Calculated formation energy: -0.171 eV per atom
Final energy: -0.2173 Ry/atom
Total magnetic moment: 0.00 μB per formula unit

Cell lengths 3.3861, 4.9838, 5.6792 Å; angles 90.00, 97.68, 90.00 degrees
Last column: nearest neighbours and their distance in Å.
Space group P2/m (No. 10)
One atom of each set of equivalent atoms:
Y: 0.0000 0.0000 0.0000  2 Ag 3.11, 8 Cd 3.28-3.41, 2 Y 3.39
Cd: 0.4049 0.5000 0.7413  2 Ag 2.88, 2 Cd 2.90-2.92
Ag: 0.5000 0.0000 0.5000  4 Cd 2.88, 2 Y 3.11

---

(12)
# NaNd2InS5

A relaxed structure of NaNd2InS5 (PBE, Alexandria).

Final energy: -0.3878 Ry/atom
Total magnetic moment: 0.00 μB per formula unit
Uncorrected formation energy: -1473 meV per atom

Cell lengths 4.0196, 17.0337, 11.9354 Å; angles 90.00, 90.00, 90.00 degrees
Last column: nearest neighbours and their distance in Å.
Space group Cmc2_1 (No. 36)
One atom of each set of equivalent atoms:
Na: 0.0000 0.2110 0.0000  6 S 2.70-2.93
Nd: 0.0000 0.1186 0.6736  8 S 2.90-3.13
Nd: 0.0000 0.1403 0.2943  8 S 2.80-3.14
In: 0.0000 0.4497 0.4490  4 S 2.45-2.59
S: 0.0000 0.0459 0.0686  2 In 2.47
S: 0.0000 0.2885 0.6662  3 Nd 2.80-2.90, 2 Na 2.82
S: 0.0000 0.3207 0.3349  1 In 2.59, 2 Na 2.87
S: 0.0000 0.3692 0.9920  1 Na 2.70, 2 Nd 2.96
S: 0.0000 0.4921 0.7613  1 In 2.45